# Ni2Au

Ni2Au after structural relaxation (GGA-PBE, Alexandria). Values from VASP.

Cell and atoms, written as Quantum ESPRESSO input:
```
&SYSTEM
  ibrav = 0, nat = 3, ntyp = 2
/
ATOMIC_SPECIES
Ni 58.69 Ni.upf
Au 196.97 Au.upf
CELL_PARAMETERS angstrom
3.3407 3.1996 1.1644
-0.5786 4.7335 -0.1142
-1.6519 -4.1601 1.6489
ATOMIC_POSITIONS crystal
Ni 0.3186 0.3186 0.0000
Ni 0.6814 0.6814 0.0000
Au 0.0000 0.0000 0.0000
```

Properties
space-group type = Immm (71)
D(E_F) = 6.0 states/eV/cell
DFT formation energy = 0.1184 eV per atom

# Ni3Au

Ni3Au after structural relaxation (GGA-PBE, Alexandria). Values from VASP.

Cell and atoms, written as Quantum ESPRESSO input:
```
&SYSTEM
  ibrav = 0, nat = 4, ntyp = 2
/
ATOMIC_SPECIES
Au 196.97 Au.upf
Ni 58.69 Ni.upf
CELL_PARAMETERS angstrom
-6.9490 -2.9381 1.7044
0.7308 -2.7996 -1.8462
9.3891 2.8145 -0.5511
ATOMIC_POSITIONS crystal
Au 0.0000 0.0000 0.0000
Ni 0.3466 0.5000 0.0647
Ni 0.6534 0.5000 0.9353
Ni 0.5000 0.0000 0.0000
```

Properties
space-group type = P2/m (10)
D(E_F) = 6.3 states/eV/cell
DFT formation energy = 0.1046 eV per atom

The lowest DFT formation energy belongs to which entry?
Ni3Au